Entry 1:
# YSiPd

A geometry-optimized YSiPd structure (PBEsol, the Alexandria database).

Calculated values
Its formation energy without anion corrections is -1.0044 eV per atom. For the theoretical density, the calculation gives 6.8 g/cm3. As for the space group: C2/m. For the total energy, the calculation gives -7.180 eV/atom. For the density of states at the Fermi level, the calculation gives 1.4 states/eV/f.u.

Unit cell a=4.210 b=5.549 c=5.520 alpha=77.11 beta=67.59 gamma=67.71
Sites, in units of the cell vectors:
Si: 0.846 0.099 0.209
Si: 0.154 0.901 0.791
Pd: 0.819 0.745 0.618
Pd: 0.181 0.255 0.382
Y: 0.551 0.688 0.209
Y: 0.449 0.312 0.791

Entry 2:
# YSi2Pd2

A geometry-optimized YSi2Pd2 structure (PBEsol, the Alexandria database).

Calculated values
Its formation energy without anion corrections is -1.0203 eV per atom. For the theoretical density, the calculation gives 7.2 g/cm3. As for the space group: I4/mmm. For the total energy, the calculation gives -7.067 eV/atom. For the density of states at the Fermi level, the calculation gives 2.7 states/eV/f.u.

Unit cell a=4.095 b=4.095 c=5.735 alpha=110.92 beta=110.92 gamma=90.00
Sites, in units of the cell vectors:
Y: 0.000 0.000 0.000
Si: 0.383 0.383 0.766
Si: 0.617 0.617 0.234
Pd: 0.250 0.750 0.500
Pd: 0.750 0.250 0.500

Entry 3:
# YSiPd

A geometry-optimized YSiPd structure (PBEsol, the Alexandria database).

Calculated values
Its formation energy without anion corrections is -1.0713 eV per atom. For the theoretical density, the calculation gives 6.8 g/cm3. As for the space group: Pmmn. For the total energy, the calculation gives -7.247 eV/atom. For the density of states at the Fermi level, the calculation gives 1.0 states/eV/f.u.

Unit cell a=4.288 b=7.367 c=13.813 alpha=90.00 beta=90.00 gamma=90.00
Sites, in units of the cell vectors:
Y: 0.000 0.207 0.248
Y: 0.000 0.293 0.500
Y: 0.000 0.207 0.752
Y: 0.500 0.707 0.000
Y: 0.500 0.793 0.748
Y: 0.500 0.793 0.252
Y: 0.500 0.700 0.500
Y: 0.000 0.300 0.000
Si: 0.000 0.591 0.148
Si: 0.500 0.091 0.907
Si: 0.000 0.591 0.852
Si: 0.000 0.909 0.593
Si: 0.500 0.091 0.093
Si: 0.500 0.409 0.648
Si: 0.500 0.409 0.352
Si: 0.000 0.909 0.407
Pd: 0.500 0.418 0.157
Pd: 0.500 0.077 0.393
Pd: 0.000 0.582 0.343
Pd: 0.500 0.077 0.607
Pd: 0.000 0.923 0.893
Pd: 0.000 0.582 0.657
Pd: 0.000 0.923 0.107
Pd: 0.500 0.418 0.843

Entry 4:
# Y2Si2Pd

A geometry-optimized Y2Si2Pd structure (PBEsol, the Alexandria database).

Calculated values
Its formation energy without anion corrections is -0.9560 eV per atom. For the theoretical density, the calculation gives 6.0 g/cm3. As for the space group: P4/mbm. For the total energy, the calculation gives -7.175 eV/atom. For the density of states at the Fermi level, the calculation gives 2.6 states/eV/f.u.

Unit cell a=4.438 b=6.539 c=6.539 alpha=90.00 beta=90.00 gamma=90.00
Sites, in units of the cell vectors:
Y: 0.500 0.327 0.173
Y: 0.500 0.173 0.673
Y: 0.500 0.827 0.327
Y: 0.500 0.673 0.827
Pd: 0.000 0.500 0.500
Pd: 0.000 0.000 0.000
Si: 0.000 0.134 0.366
Si: 0.000 0.866 0.634
Si: 0.000 0.634 0.134
Si: 0.000 0.366 0.866